Computed, not measured: an optimized crystal structure of MgVAgF6 at the PBE+U level of DFT.

* final energy: -5.1741 eV/atom
* total moment: 0.222 μB/atom
* N(E_F): 0.72 states/eV per atom

abc: 5.3773 5.3773 10.3235
angles: 90.00 90.00 120.00
With the nearest neighbours (Å) after each atom.
Atoms (fractional coordinates):
Mg: 0.3333 0.6667 0.2500  6 F 2.02
Mg: 0.6667 0.3333 0.7500  6 F 2.02
V: 0.3333 0.6667 0.7500  6 F 1.99
V: 0.6667 0.3333 0.2500  6 F 1.99
Ag: 0.0000 0.0000 0.0000  6 F 2.51
Ag: 0.0000 0.0000 0.5000  6 F 2.51
F: 0.0046 0.3743 0.6470  1 V 1.99, 1 Mg 2.02
F: 0.0046 0.6303 0.8530  1 V 1.99, 1 Mg 2.02
F: 0.3697 0.3743 0.8530  1 V 1.99, 1 Mg 2.02
F: 0.3697 0.9954 0.6470  1 V 1.99, 1 Mg 2.02
F: 0.3743 0.0046 0.1470  1 V 1.99, 1 Mg 2.02
F: 0.3743 0.3697 0.3530  1 V 1.99, 1 Mg 2.02
F: 0.6257 0.6303 0.6470  1 V 1.99, 1 Mg 2.02
F: 0.6257 0.9954 0.8530  1 V 1.99, 1 Mg 2.02
F: 0.6303 0.0046 0.3530  1 V 1.99, 1 Mg 2.02
F: 0.6303 0.6257 0.1470  1 V 1.99, 1 Mg 2.02
F: 0.9954 0.3697 0.1470  1 V 1.99, 1 Mg 2.02
F: 0.9954 0.6257 0.3530  1 V 1.99, 1 Mg 2.02